Record 1
{
  "formula": "NbHIrOs2",
  "functional": "PBE-GGA",
  "state": "relaxed",
  "lattice": [[-3.796, -1.058, 0.534], [0.670, -0.438, 3.895], [-0.975, 3.798, 0.595]],
  "species": ["Os", "Os", "H", "Ir", "Nb"],
  "frac_coords": [[0.500, 0.000, 0.000], [0.000, 0.500, 0.000], [0.000, 0.000, 0.000], [0.000, 0.000, 0.500], [0.500, 0.500, 0.500]]
}


Record 2
{
  "formula": "CuC",
  "functional": "PBE-GGA",
  "state": "relaxed",
  "de_polymorph_ev_per_atom": 1.455,
  "ef_ev_per_atom": 1.675,
  "lattice": [[-3.384, 2.791, -3.820], [-0.979, -5.008, -2.791], [-2.202, -0.467, 1.610]],
  "species": ["Cu", "Cu", "Cu", "Cu", "C", "C", "C", "C"],
  "frac_coords": [[0.347, 0.653, 0.500], [0.847, 0.847, 0.000], [0.153, 0.153, 0.000], [0.653, 0.347, 0.500], [0.685, 0.685, 0.500], [0.315, 0.315, 0.500], [0.185, 0.815, 0.000], [0.815, 0.185, 0.000]]
}


Record 3
{
  "formula": "CaScNiRh2",
  "functional": "PBE-GGA",
  "state": "relaxed",
  "de_polymorph_ev_per_atom": 1.284,
  "ef_ev_per_atom": 1.476,
  "lattice": [[4.657, 0.000, 0.000], [0.000, 4.992, 0.000], [0.000, 0.000, 4.657]],
  "species": ["Rh", "Rh", "Sc", "Ca", "Ni"],
  "frac_coords": [[0.500, 0.000, 0.000], [0.000, 0.000, 0.500], [0.000, 0.500, 0.000], [0.000, 0.000, 0.000], [0.500, 0.500, 0.500]]
}


Respective E values: -45.47; -39.88; -21.44 eV/cell.